(1)
CrCoMo at its PBEsol-relaxed geometry, computed with meta-GGA SCAN.

a b c (Å): 4.707 4.707 4.707
angles (deg): 142.93 142.93 53.43
Fractional coordinates of all 3 atoms:
1 Cr 0.000 0.000 0.000
2 Co 0.336 0.336 0.000
3 Mo 0.665 0.665 0.000

Energy of formation from the pure elements = 171 meV per atom
Density of states at the Fermi level = 0.586 states/eV/atom
E above lowest polymorph = 0.0000 eV per atom
Calculated total energy = -70.1 eV/cell

=====

(2)
CrCoMo at its PBEsol-relaxed geometry, computed with meta-GGA SCAN.

a b c (Å): 2.591 2.591 6.399
angles (deg): 90.00 90.00 120.00
Fractional coordinates of all 3 atoms:
1 Cr 0.000 0.000 0.000
2 Co 0.667 0.333 0.292
3 Mo 0.333 0.667 0.637

Energy of formation from the pure elements = 430 meV per atom
Density of states at the Fermi level = 0.960 states/eV/atom
E above lowest polymorph = 0.2590 eV per atom
Calculated total energy = -69.3 eV/cell

=====

(3)
CrCoMo2 at its PBEsol-relaxed geometry, computed with meta-GGA SCAN.

a b c (Å): 4.199 4.199 4.199
angles (deg): 60.00 60.00 60.00
Fractional coordinates of all 4 atoms:
1 Cr 0.000 0.000 0.000
2 Co 0.500 0.500 0.500
3 Mo 0.250 0.250 0.250
4 Mo 0.750 0.750 0.750

Energy of formation from the pure elements = 166 meV per atom
Density of states at the Fermi level = 0.776 states/eV/atom
E above lowest polymorph = 0.0000 eV per atom
Calculated total energy = -104.8 eV/cell

=====

(4)
CrCoMo2 at its PBEsol-relaxed geometry, computed with meta-GGA SCAN.

a b c (Å): 4.809 4.809 4.809
angles (deg): 142.36 128.26 65.73
Fractional coordinates of all 4 atoms:
1 Cr 0.000 0.000 0.000
2 Co 0.500 0.500 0.000
3 Mo 0.241 0.741 0.500
4 Mo 0.759 0.259 0.500

Energy of formation from the pure elements = 193 meV per atom
Density of states at the Fermi level = 0.722 states/eV/atom
E above lowest polymorph = 0.0273 eV per atom
Calculated total energy = -104.7 eV/cell

=====

(5)
Cr3CoMo at its PBEsol-relaxed geometry, computed with meta-GGA SCAN.

a b c (Å): 4.101 4.101 4.101
angles (deg): 90.00 90.00 90.00
Fractional coordinates of all 5 atoms:
1 Cr 0.000 0.000 0.500
2 Cr 0.000 0.500 0.000
3 Cr 0.500 0.000 0.000
4 Co 0.000 0.000 0.000
5 Mo 0.500 0.500 0.500

Energy of formation from the pure elements = 1348 meV per atom
Density of states at the Fermi level = 1.027 states/eV/atom
Calculated total energy = -100.6 eV/cell

=====

(6)
TlCrCo2Mo at its PBEsol-relaxed geometry, computed with meta-GGA SCAN.

a b c (Å): 4.254 4.254 4.391
angles (deg): 90.00 90.00 90.00
Fractional coordinates of all 5 atoms:
1 Tl 0.000 0.000 0.000
2 Cr 0.500 0.500 0.500
3 Co 0.000 0.500 0.500
4 Co 0.500 0.000 0.500
5 Mo 0.500 0.500 0.000

Energy of formation from the pure elements = 1260 meV per atom
Density of states at the Fermi level = 0.896 states/eV/atom
Calculated total energy = -153.9 eV/cell

=====

(7)
CrCo2N3 at its PBEsol-relaxed geometry, computed with meta-GGA SCAN.

a b c (Å): 5.016 5.016 5.107
angles (deg): 90.00 90.00 59.90
Fractional coordinates of all 12 atoms:
1 Cr 0.160 0.840 0.500
2 Cr 0.840 0.160 0.000
3 Co 0.170 0.520 0.938
4 Co 0.480 0.830 0.938
5 Co 0.520 0.170 0.438
6 Co 0.830 0.480 0.438
7 N 0.163 0.488 0.577
8 N 0.176 0.824 0.139
9 N 0.488 0.163 0.077
10 N 0.512 0.837 0.577
11 N 0.824 0.176 0.639
12 N 0.837 0.512 0.077

Formation energy from raw total energies = -0.0894 eV/atom
Density of states at the Fermi level = 0.570 states/eV/atom
Calculated total energy = -162.8 eV/cell

=====

(8)
Na2CrCo at its PBEsol-relaxed geometry, computed with meta-GGA SCAN.

a b c (Å): 4.784 4.784 4.784
angles (deg): 60.00 60.00 60.00
Fractional coordinates of all 4 atoms:
1 Na 0.250 0.250 0.250
2 Na 0.750 0.750 0.750
3 Cr 0.000 0.000 0.000
4 Co 0.500 0.500 0.500

Energy of formation from the pure elements = 1044 meV per atom
Density of states at the Fermi level = 1.221 states/eV/atom
Calculated total energy = -39.9 eV/cell